This record from Alexandria via LeMat-Bulk describes a relaxed structure of MgNpBr6. The functional is GGA-PBE.

Calculated values
* ρ: 4.2 g/cm3
* relative energy among the computed polymorphs: 0.000 eV per atom
* formation energy from raw total energies: -1.281 eV/atom
* space-group type: C2/m

CIF file:
```
data_MgNpBr6
_chemical_formula_sum 'Mg2 Np2 Br12'
_space_group_name_H-M_alt 'P 1'
_space_group_IT_number 1
_cell_length_a 6.818
_cell_length_b 13.377
_cell_length_c 6.814
_cell_angle_alpha 90.00
_cell_angle_beta 108.65
_cell_angle_gamma 90.00
loop_
_space_group_symop_operation_xyz
'x,y,z'
loop_
_atom_site_label
_atom_site_type_symbol
_atom_site_fract_x
_atom_site_fract_y
_atom_site_fract_z
Mg1 Mg 0.000 0.000 0.000
Mg2 Mg 0.500 0.500 0.000
Np1 Np 0.000 0.500 0.500
Np2 Np 0.500 0.000 0.500
Br1 Br 0.239 0.141 0.239
Br2 Br 0.239 0.859 0.239
Br3 Br 0.247 0.500 0.252
Br4 Br 0.253 0.000 0.748
Br5 Br 0.261 0.359 0.761
Br6 Br 0.261 0.641 0.761
Br7 Br 0.739 0.359 0.239
Br8 Br 0.739 0.641 0.239
Br9 Br 0.747 0.000 0.252
Br10 Br 0.753 0.500 0.748
Br11 Br 0.761 0.141 0.761
Br12 Br 0.761 0.859 0.761
```